No. 1
# Rb4Zn5As6 (PBE-GGA, relaxed)
# Total moment in μB/f.u.: 0.000
data_Rb4Zn5As6
_cell_length_a 4.3286
_cell_length_b 19.7289
_cell_length_c 19.1359
_cell_angle_alpha 90.00
_cell_angle_beta 90.00
_cell_angle_gamma 90.00
_symmetry_space_group_name_H-M 'C m c m'
_symmetry_Int_Tables_number 63
_symmetry_space_group_name_Hall '-C 2c 2'
loop_
_atom_site_label
_atom_site_type_symbol
_atom_site_fract_x
_atom_site_fract_y
_atom_site_fract_z
_atom_site_occupancy
Rb1 Rb 0.0000 0.0170 0.1246 1
Rb2 Rb 0.0000 0.1928 0.0709 1
Zn1 Zn 0.0000 0.1130 0.7500 1
Zn2 Zn 0.0000 0.2560 0.7500 1
Zn3 Zn 0.0000 0.3813 0.1318 1
Zn4 Zn 0.0000 0.4096 0.7500 1
As1 As 0.0000 0.1568 0.2500 1
As2 As 0.0000 0.1857 0.6370 1
As3 As 0.0000 0.4405 0.0085 1
As4 As 0.0000 0.4599 0.2500 1



No. 2
# BaLaGe2 (PBE-GGA, relaxed)
# Total moment in μB/f.u.: 0.000
data_BaLaGe2
_cell_length_a 8.0476
_cell_length_b 7.1438
_cell_length_c 8.9492
_cell_angle_alpha 90.00
_cell_angle_beta 90.00
_cell_angle_gamma 90.00
_symmetry_space_group_name_H-M 'P n m a'
_symmetry_Int_Tables_number 62
loop_
_symmetry_equiv_pos_as_xyz
'x,y,z'
'-x,-y,-z'
'-x+1/2,-y,z+1/2'
'x+1/2,y,-z+1/2'
'x+1/2,-y+1/2,-z+1/2'
'-x+1/2,y+1/2,z+1/2'
'-x,y+1/2,-z'
'x,-y+1/2,z'
loop_
_atom_site_label
_atom_site_type_symbol
_atom_site_fract_x
_atom_site_fract_y
_atom_site_fract_z
_atom_site_occupancy
Ba1 Ba 0.0006 0.2500 0.1954 1
La1 La 0.1432 0.2500 0.6539 1
Ge1 Ge 0.2078 0.5746 0.4481 1



Number 1: V 27.24 Å³ per atom, E_tot -169.46 eV for the cell shown. Number 2: V 32.16 Å³ per atom, E_tot -74.59 eV for the cell shown.